Entry from the Alexandria database: a relaxed structure of PrNdAg (GGA-PBE).

Properties
* calculated density: 6.42 Mg/m³
* energy of formation: 95 meV/atom
* VASP energy: -4.038 eV/atom

Unit cell a=7.9740 b=7.9740 c=8.2014 alpha=108.20 beta=108.20 gamma=110.94
Closest atoms and distances in Å follow each position.
Atoms (fractional coordinates):
Pr  0.6250  0.3750  0.7500  2 Ag 3.17
Pr  0.1250  0.3750  0.7500  2 Ag 3.17
Pr  0.6250  0.8750  0.2500  2 Ag 3.17
Pr  0.6250  0.3750  0.2500  2 Ag 3.17
Ag  0.8091  0.1909  0.0000  4 Nd 2.93-3.04, 2 Pr 3.17
Ag  0.4409  0.5591  0.5000  4 Nd 2.93-3.04, 2 Pr 3.17
Ag  0.0591  0.9409  0.5000  4 Nd 2.93-3.04, 2 Pr 3.17
Ag  0.1909  0.8091  0.0000  4 Nd 2.93-3.04, 2 Pr 3.17
Nd  0.1244  0.6244  0.2488  4 Ag 2.93-3.04
Nd  0.1256  0.1256  0.2512  4 Ag 2.93-3.04
Nd  0.3756  0.8756  0.7512  4 Ag 2.93-3.04
Nd  0.8744  0.8744  0.7488  4 Ag 2.93-3.04

=====

Entry from the Alexandria database: a relaxed structure of Pr3Nd3Ag2 (GGA-PBE).

Properties
* calculated density: 7.02 Mg/m³
* energy of formation: -57 meV/atom
* VASP energy: -4.350 eV/atom

Unit cell a=5.2492 b=6.5047 c=16.2224 alpha=90.00 beta=90.00 gamma=113.80
Closest atoms and distances in Å follow each position.
Atoms (fractional coordinates):
Nd  0.5782  0.1565  0.7500  2 Ag 3.06, 1 Pr 3.32
Nd  0.3568  0.7135  0.9702  3 Ag 3.00-3.22
Nd  0.6432  0.2865  0.4702  3 Ag 3.00-3.22
Nd  0.6432  0.2865  0.0298  3 Ag 3.00-3.22
Nd  0.3568  0.7135  0.5298  3 Ag 3.00-3.22
Nd  0.4218  0.8435  0.2500  2 Ag 3.06, 1 Pr 3.32
Pr  0.0423  0.0845  0.8902  1 Ag 3.20, 2 Nd 3.50
Pr  0.0423  0.0845  0.6098  1 Ag 3.20, 2 Nd 3.50
Pr  0.9577  0.9155  0.3902  1 Ag 3.20, 2 Nd 3.50
Pr  0.9577  0.9155  0.1098  1 Ag 3.20, 2 Nd 3.50
Pr  0.2995  0.5991  0.7500  4 Ag 3.30, 3 Nd 3.32-3.64
Pr  0.7005  0.4009  0.2500  4 Ag 3.30, 3 Nd 3.32-3.64
Ag  0.7748  0.5496  0.8719  4 Nd 3.00-3.22, 3 Pr 3.20-3.30
Ag  0.7748  0.5496  0.6281  4 Nd 3.00-3.22, 3 Pr 3.20-3.30
Ag  0.2252  0.4504  0.1281  4 Nd 3.00-3.22, 3 Pr 3.20-3.30
Ag  0.2252  0.4504  0.3719  4 Nd 3.00-3.22, 3 Pr 3.20-3.30

=====

Entry from the Alexandria database: a relaxed structure of PrNd7Ag2 (GGA-PBE).

Properties
* calculated density: 5.88 Mg/m³
* energy of formation: 306 meV/atom
* VASP energy: -4.080 eV/atom

Unit cell a=5.5408 b=8.8597 c=8.8597 alpha=117.45 beta=90.00 gamma=90.00
Closest atoms and distances in Å follow each position.
Atoms (fractional coordinates):
Ag  0.5000  0.6954  0.3046  7 Nd 2.86-3.20
Ag  0.5000  0.3046  0.6954  7 Nd 2.86-3.20
Nd  0.5000  0.9418  0.6928  2 Ag 3.11-3.20, 2 Nd 3.36-3.47
Nd  0.0000  0.2573  0.7427  2 Ag 2.86
Nd  0.5000  0.0582  0.3072  2 Ag 3.11-3.20, 2 Nd 3.36-3.47
Nd  0.5000  0.3072  0.0582  2 Ag 3.11-3.20, 2 Nd 3.36-3.47
Nd  0.5000  0.5000  0.5000  2 Ag 2.96
Nd  0.0000  0.7427  0.2573  2 Ag 2.86
Nd  0.5000  0.6928  0.9418  2 Ag 3.11-3.20, 2 Nd 3.36-3.47
Pr  0.0000  0.0000  0.0000  10 Nd 3.75-3.90

=====

Entry from the Alexandria database: a relaxed structure of PrNdAg (GGA-PBE).

Properties
* calculated density: 7.23 Mg/m³
* energy of formation: -141 meV/atom
* VASP energy: -4.274 eV/atom

Unit cell a=3.7648 b=3.7648 c=6.9062 alpha=105.82 beta=105.82 gamma=90.00
Closest atoms and distances in Å follow each position.
Atoms (fractional coordinates):
Ag  0.6686  0.6686  0.3373  4 Nd 3.24, 4 Pr 3.28
Nd  0.3134  0.3134  0.6268  4 Ag 3.24
Pr  0.0179  0.0179  0.0359  4 Ag 3.28

=====

Entry from the Alexandria database: a relaxed structure of Pr3Nd5Ag2 (GGA-PBE).

Properties
* calculated density: 6.78 Mg/m³
* energy of formation: 93 meV/atom
* VASP energy: -4.295 eV/atom

Unit cell a=6.7936 b=10.7378 c=10.7378 alpha=66.73 beta=71.56 gamma=71.56
Closest atoms and distances in Å follow each position.
Atoms (fractional coordinates):
Pr  0.7500  0.0000  0.0000  4 Ag 3.26, 2 Pr 3.40
Pr  0.3312  0.3870  0.9507  1 Ag 3.31
Pr  0.6688  0.6130  0.0493  1 Ag 3.31
Pr  0.2500  0.0000  0.0000  4 Ag 3.26, 2 Pr 3.40
Pr  0.8312  0.9507  0.3870  1 Ag 3.31
Pr  0.1688  0.0493  0.6130  1 Ag 3.31
Ag  0.6617  0.9002  0.7765  3 Nd 2.95-3.02, 2 Pr 3.26
Ag  0.3383  0.0998  0.2235  3 Nd 2.95-3.02, 2 Pr 3.26
Ag  0.1617  0.7765  0.9002  3 Nd 2.95-3.02, 2 Pr 3.26
Ag  0.8383  0.2235  0.0998  3 Nd 2.95-3.02, 2 Pr 3.26
Nd  0.4368  0.7938  0.3326  1 Ag 2.95
Nd  0.0632  0.6674  0.2062  1 Ag 2.95
Nd  0.9446  0.3054  0.3054  2 Ag 3.02, 1 Nd 3.23
Nd  0.2500  0.5000  0.5000  8 Nd 3.23-3.40
Nd  0.5554  0.6946  0.6946  2 Ag 3.02, 1 Nd 3.23
Nd  0.9368  0.3326  0.7938  1 Ag 2.95
Nd  0.7500  0.5000  0.5000  8 Nd 3.23-3.40
Nd  0.5632  0.2062  0.6674  1 Ag 2.95
Nd  0.4446  0.3054  0.3054  2 Ag 3.02, 1 Nd 3.23
Nd  0.0554  0.6946  0.6946  2 Ag 3.02, 1 Nd 3.23

=====

Entry from the Alexandria database: a relaxed structure of Pr2Nd2Ag (GGA-PBE).

Properties
* calculated density: 7.03 Mg/m³
* energy of formation: 2 meV/atom
* VASP energy: -4.388 eV/atom

Unit cell a=8.3454 b=6.3911 c=9.2859 alpha=70.11 beta=58.59 gamma=49.24
Closest atoms and distances in Å follow each position.
Atoms (fractional coordinates):
Pr  0.7299  0.0000  0.4365  3 Pr 3.38-3.65, 4 Nd 3.48-3.59
Pr  0.2701  0.0000  0.5635  3 Pr 3.38-3.65, 4 Nd 3.48-3.59
Pr  0.3882  0.0000  0.8892  2 Ag 3.22, 1 Pr 3.42, 4 Nd 3.45-3.58
Pr  0.6118  0.0000  0.1108  2 Ag 3.22, 1 Pr 3.42, 4 Nd 3.45-3.58
Ag  0.1572  0.6856  0.0000  1 Ag 3.04, 4 Nd 3.11-3.36, 2 Pr 3.22
Ag  0.8428  0.3144  0.0000  1 Ag 3.04, 4 Nd 3.11-3.36, 2 Pr 3.22
Nd  0.3330  0.6210  0.2758  2 Ag 3.11-3.36, 1 Pr 3.45
Nd  0.0460  0.6210  0.7242  2 Ag 3.11-3.36, 1 Pr 3.45
Nd  0.6670  0.3790  0.7242  2 Ag 3.11-3.36, 1 Pr 3.45
Nd  0.9540  0.3790  0.2758  2 Ag 3.11-3.36, 1 Pr 3.45

=====

Entry from the Alexandria database: a relaxed structure of Pr2Nd3Ag2 (GGA-PBE).

Properties
* calculated density: 7.03 Mg/m³
* energy of formation: -115 meV/atom
* VASP energy: -4.339 eV/atom

Unit cell a=3.8748 b=6.8883 c=9.5382 alpha=114.80 beta=90.00 gamma=106.34
Closest atoms and distances in Å follow each position.
Atoms (fractional coordinates):
Nd  0.3878  0.7755  0.5528  3 Ag 3.17-3.18, 1 Nd 3.53
Nd  0.5000  0.0000  0.0000  4 Ag 3.04
Nd  0.6122  0.2245  0.4472  3 Ag 3.17-3.18, 1 Nd 3.53
Ag  0.1696  0.3392  0.2282  5 Nd 3.04-3.18, 2 Pr 3.24
Ag  0.8304  0.6608  0.7718  5 Nd 3.04-3.18, 2 Pr 3.24
Pr  0.8511  0.7023  0.1862  2 Ag 3.24
Pr  0.1489  0.2977  0.8138  2 Ag 3.24

=====

Entry from the Alexandria database: a relaxed structure of Pr4Nd3Ag4 (GGA-PBE).

Properties
* calculated density: 7.16 Mg/m³
* energy of formation: -75 meV/atom
* VASP energy: -4.150 eV/atom

Unit cell a=5.2349 b=7.6073 c=9.5094 alpha=113.58 beta=105.98 gamma=90.00
Closest atoms and distances in Å follow each position.
Atoms (fractional coordinates):
Ag  0.8113  0.3113  0.6225  6 Pr 3.08-3.14, 1 Nd 3.14
Ag  0.5000  0.1854  0.0000  1 Ag 2.82, 2 Pr 2.98
Ag  0.1887  0.6887  0.3775  6 Pr 3.08-3.14, 1 Nd 3.14
Ag  0.5000  0.8146  0.0000  1 Ag 2.82, 2 Pr 2.98
Pr  0.3251  0.0988  0.6502  4 Ag 2.98-3.14
Pr  0.6749  0.9012  0.3498  4 Ag 2.98-3.14
Pr  0.6749  0.4486  0.3498  4 Ag 2.98-3.14
Pr  0.3251  0.5514  0.6502  4 Ag 2.98-3.14
Nd  0.0000  0.5000  0.0000  2 Ag 3.14
Nd  0.1002  0.1002  0.2005  1 Nd 3.33, 4 Ag 3.41, 4 Pr 3.57
Nd  0.8998  0.8998  0.7995  1 Nd 3.33, 4 Ag 3.41, 4 Pr 3.57

=====

Entry from the Alexandria database: a relaxed structure of Pr6Nd3Ag (GGA-PBE).

Properties
* calculated density: 6.61 Mg/m³
* energy of formation: 58 meV/atom
* VASP energy: -4.525 eV/atom

Unit cell a=5.4487 b=10.5266 c=12.1333 alpha=90.00 beta=90.00 gamma=90.00
Closest atoms and distances in Å follow each position.
Atoms (fractional coordinates):
Ag  0.0000  0.0000  0.0000  8 Pr 3.02-3.35
Ag  0.5000  0.5000  0.5000  8 Pr 3.01-3.35
Nd  0.5000  0.1230  0.2931  3 Pr 3.33-3.41
Nd  0.5000  0.5000  0.0000  2 Pr 3.20
Nd  0.0000  0.0000  0.5000  2 Pr 3.19
Nd  0.5000  0.8770  0.7069  3 Pr 3.33-3.41
Nd  0.0000  0.3770  0.7931  3 Pr 3.33-3.41
Nd  0.0000  0.6230  0.2069  3 Pr 3.33-3.41
Pr  0.5000  0.1649  0.9255  2 Ag 3.35, 2 Pr 3.57, 1 Nd 3.64
Pr  0.0000  0.0629  0.7576  1 Ag 3.02, 2 Nd 3.19-3.33
Pr  0.0000  0.6649  0.5745  2 Ag 3.35, 2 Pr 3.57, 1 Nd 3.64
Pr  0.5000  0.4371  0.2576  1 Ag 3.01, 2 Nd 3.20-3.33
Pr  0.5000  0.8351  0.0745  2 Ag 3.35, 2 Pr 3.57, 1 Nd 3.64
Pr  0.0000  0.7215  0.8829  1 Ag 3.26, 2 Pr 3.62
Pr  0.0000  0.9371  0.2424  1 Ag 3.02, 2 Nd 3.19-3.33
Pr  0.0000  0.2785  0.1171  1 Ag 3.26, 2 Pr 3.62
Pr  0.5000  0.2215  0.6170  1 Ag 3.26, 2 Pr 3.62
Pr  0.5000  0.7785  0.3830  1 Ag 3.26, 2 Pr 3.62
Pr  0.5000  0.5629  0.7424  1 Ag 3.01, 2 Nd 3.20-3.33
Pr  0.0000  0.3351  0.4255  2 Ag 3.35, 2 Pr 3.57, 1 Nd 3.64

=====

Entry from the Alexandria database: a relaxed structure of PrNd2Ag (GGA-PBE).

Properties
* calculated density: 7.54 Mg/m³
* energy of formation: 90 meV/atom
* VASP energy: -4.201 eV/atom

Unit cell a=5.5111 b=5.5111 c=5.5111 alpha=60.00 beta=60.00 gamma=60.00
Closest atoms and distances in Å follow each position.
Atoms (fractional coordinates):
Ag  0.0000  0.0000  0.0000  8 Nd 3.37
Pr  0.5000  0.5000  0.5000  8 Nd 3.37
Nd  0.7500  0.7500  0.7500  4 Pr 3.37, 4 Ag 3.37
Nd  0.2500  0.2500  0.2500  4 Pr 3.37, 4 Ag 3.37